Compound: LiCd2Pd4
Source: Alexandria
Functional: PBE
Structure: optimized geometry

Structure (POSCAR):
```
LiCd2Pd4
1.0
-3.014 -4.674 0.741
2.257 1.174 -5.001
5.086 0.509 2.313
Li Cd Pd
1 2 4
Cartesian
0.000 0.000 0.000 Li
-0.379 -1.750 -2.130 Cd
1.036 -2.083 1.527 Cd
-1.507 -2.337 0.370 Pd
2.164 -1.496 -0.973 Pd
2.543 0.254 1.157 Pd
1.128 0.587 -2.500 Pd
```

For the total moment, the calculation gives 0.000 μB/atom. The value obtained for the energy relative to the elements is -0.25 eV/atom. The total energy comes out at -26.23 eV/f.u. For the density of states at the Fermi level, the calculation gives 1.9 states/eV/f.u.